A plane-wave DFT calculation with PBE with a Hubbard U was carried out for an optimized crystal structure of V2P2PbO10.

Results
calculated volume	13.22	Å³/atom
DOS at the Fermi energy	0.0000	states/eV per atom
uncorrected energy	-0.2687	hartree per atom
symmetry	No. 14

abc: 5.2812 8.8477 16.9823
angles: 90.00 91.04 90.00
Closest atoms and distances in Å follow each position.
Fractional positions:
V (0.0366, 0.0371, 0.1526)  1 O 1.67
V (0.0366, 0.4629, 0.6526)  1 O 1.67
V (0.3496, 0.6699, 0.9316)  1 O 1.65
V (0.3496, 0.8301, 0.4316)  1 O 1.65
V (0.6504, 0.1699, 0.5684)  1 O 1.65
V (0.6504, 0.3301, 0.0684)  1 O 1.65
V (0.9634, 0.5371, 0.3474)  1 O 1.67
V (0.9634, 0.9629, 0.8474)  1 O 1.67
P (0.1377, 0.0909, 0.6767)  4 O 1.55-1.56
P (0.1377, 0.4091, 0.1767)  4 O 1.55-1.56
P (0.1470, 0.2127, 0.9813)  4 O 1.53-1.58
P (0.1470, 0.2873, 0.4813)  4 O 1.53-1.58
P (0.8530, 0.7127, 0.5187)  4 O 1.53-1.58
P (0.8530, 0.7873, 0.0187)  4 O 1.53-1.58
P (0.8623, 0.5909, 0.8233)  4 O 1.55-1.56
P (0.8623, 0.9091, 0.3233)  4 O 1.55-1.56
Pb (0.4607, 0.2042, 0.3214)  5 O 2.47-2.71
Pb (0.4607, 0.2958, 0.8214)  5 O 2.47-2.71
Pb (0.5393, 0.7042, 0.1786)  5 O 2.47-2.71
Pb (0.5393, 0.7958, 0.6786)  5 O 2.47-2.71
O (0.0945, 0.6899, 0.0137)  1 P 1.54
O (0.0945, 0.8101, 0.5137)  1 P 1.54
O (0.1150, 0.5454, 0.8648)  1 P 1.55
O (0.1150, 0.9546, 0.3648)  1 P 1.55
O (0.1367, 0.2404, 0.2025)  1 P 1.56
O (0.1367, 0.2596, 0.7025)  1 P 1.56
O (0.1519, 0.1363, 0.8980)  1 P 1.57
O (0.1519, 0.3637, 0.3980)  1 P 1.57
O (0.1670, 0.0987, 0.0486)  1 P 1.53
O (0.1670, 0.4013, 0.5486)  1 P 1.53
O (0.1811, 0.5099, 0.2502)  1 P 1.55
O (0.1811, 0.9901, 0.7502)  1 P 1.55
O (0.2833, 0.5635, 0.6868)  1 V 1.67
O (0.2833, 0.9365, 0.1868)  1 V 1.67
O (0.3044, 0.6681, 0.3852)  1 V 1.65
O (0.3044, 0.8319, 0.8852)  1 V 1.65
O (0.3699, 0.0597, 0.6241)  1 P 1.56
O (0.3699, 0.4403, 0.1241)  1 P 1.56
O (0.3931, 0.1869, 0.4790)  1 P 1.58
O (0.3931, 0.3131, 0.9790)  1 P 1.58
O (0.6069, 0.6869, 0.0210)  1 P 1.58
O (0.6069, 0.8131, 0.5210)  1 P 1.58
O (0.6301, 0.5597, 0.8759)  1 P 1.56
O (0.6301, 0.9403, 0.3759)  1 P 1.56
O (0.6956, 0.1681, 0.1148)  1 V 1.65
O (0.6956, 0.3319, 0.6148)  1 V 1.65
O (0.7167, 0.0635, 0.8132)  1 V 1.67
O (0.7167, 0.4365, 0.3132)  1 V 1.67
O (0.8189, 0.0099, 0.2498)  1 P 1.55
O (0.8189, 0.4901, 0.7498)  1 P 1.55
O (0.8330, 0.5987, 0.4514)  1 P 1.53
O (0.8330, 0.9013, 0.9514)  1 P 1.53
O (0.8481, 0.6363, 0.6020)  1 P 1.57
O (0.8481, 0.8637, 0.1020)  1 P 1.57
O (0.8633, 0.7404, 0.2975)  1 P 1.56
O (0.8633, 0.7596, 0.7975)  1 P 1.56
O (0.8850, 0.0454, 0.6352)  1 P 1.55
O (0.8850, 0.4546, 0.1352)  1 P 1.55
O (0.9055, 0.1899, 0.4863)  1 P 1.54
O (0.9055, 0.3101, 0.9863)  1 P 1.54